Record 1
Below is a relaxed InHg2Rh crystal, with properties calculated at the PBE level.

Summary:
* volume: 165.9 Å³/cell
* total moment: 0.00 μB per formula unit
* ΔE_f: 94 meV/atom
* theoretical density: 12.4 g cm⁻³

Cell and atoms, written as CIF:
```
data_InHg2Rh
_chemical_formula_sum 'In2 Hg4 Rh2'
_cell_length_a 5.762
_cell_length_b 10.208
_cell_length_c 3.357
_cell_angle_alpha 90.00
_cell_angle_beta 122.86
_cell_angle_gamma 90.00
_symmetry_space_group_name_H-M 'C 1 2/m 1'
_symmetry_Int_Tables_number 12
loop_
_symmetry_equiv_pos_as_xyz
'x,y,z'
'-x,-y,-z'
'-x,y,-z'
'x,-y,z'
'x+1/2,y+1/2,z'
'-x+1/2,-y+1/2,-z'
'-x+1/2,y+1/2,-z'
'x+1/2,-y+1/2,z'
loop_
_atom_site_label
_atom_site_type_symbol
_atom_site_fract_x
_atom_site_fract_y
_atom_site_fract_z
In1 In 0.000 0.000 0.000
Hg1 Hg 0.250 0.250 0.000
Rh1 Rh 0.000 0.500 0.000
```


Record 2
Below is a relaxed In2HgRh3 crystal, with properties calculated at the PBE level.

Summary:
* volume: 102.4 Å³/cell
* total moment: 0.00 μB per formula unit
* ΔE_f: -264 meV/atom
* theoretical density: 12.0 g cm⁻³

Cell and atoms, written as CIF:
```
data_In2HgRh3
_chemical_formula_sum 'In2 Hg1 Rh3'
_cell_length_a 3.233
_cell_length_b 3.233
_cell_length_c 9.800
_cell_angle_alpha 90.00
_cell_angle_beta 90.00
_cell_angle_gamma 90.00
_symmetry_space_group_name_H-M 'P 4/m m m'
_symmetry_Int_Tables_number 123
_symmetry_space_group_name_Hall '-P 4 2'
loop_
_atom_site_label
_atom_site_type_symbol
_atom_site_fract_x
_atom_site_fract_y
_atom_site_fract_z
In1 In 0.000 0.000 0.167
Hg1 Hg 0.000 0.000 0.500
Rh1 Rh 0.500 0.500 0.000
Rh2 Rh 0.500 0.500 0.324
```


Record 3
Below is a relaxed InHgRh3 crystal, with properties calculated at the PBE level.

Summary:
* volume: 116.6 Å³/cell
* total moment: 1.88 μB per formula unit
* relative energy among the computed polymorphs: 0.0 meV/atom
* ΔE_f: 1179 meV/atom
* theoretical density: 8.9 g cm⁻³

Cell and atoms, written as CIF:
```
data_InHgRh3
_chemical_formula_sum 'In1 Hg1 Rh3'
_cell_length_a 4.885
_cell_length_b 4.885
_cell_length_c 4.885
_cell_angle_alpha 90.00
_cell_angle_beta 90.00
_cell_angle_gamma 90.00
_symmetry_space_group_name_H-M 'P m -3 m'
_symmetry_Int_Tables_number 221
_symmetry_space_group_name_Hall '-P 4 2 3'
loop_
_atom_site_label
_atom_site_type_symbol
_atom_site_fract_x
_atom_site_fract_y
_atom_site_fract_z
In1 In 0.000 0.000 0.000
Hg1 Hg 0.500 0.500 0.500
Rh1 Rh 0.000 0.000 0.500
```


Record 4
Below is a relaxed InHg4Rh crystal, with properties calculated at the PBE level.

Summary:
* volume: 552.0 Å³/cell
* total moment: 0.00 μB per formula unit
* ΔE_f: 425 meV/atom
* theoretical density: 12.3 g cm⁻³

Cell and atoms, written as CIF:
```
data_InHg4Rh
_chemical_formula_sum 'In4 Hg16 Rh4'
_cell_length_a 8.203
_cell_length_b 8.203
_cell_length_c 8.203
_cell_angle_alpha 90.00
_cell_angle_beta 90.00
_cell_angle_gamma 90.00
_symmetry_space_group_name_H-M 'F -4 3 m'
_symmetry_Int_Tables_number 216
_symmetry_space_group_name_Hall 'F -4 2 3'
loop_
_atom_site_label
_atom_site_type_symbol
_atom_site_fract_x
_atom_site_fract_y
_atom_site_fract_z
In1 In 0.000 0.000 0.000
Hg1 Hg 0.124 0.124 0.376
Rh1 Rh 0.250 0.250 0.750
```


Record 5
Below is a relaxed InHgRh4 crystal, with properties calculated at the PBE level.

Summary:
* volume: 406.4 Å³/cell
* total moment: 0.00 μB per formula unit
* ΔE_f: 149 meV/atom
* theoretical density: 11.9 g cm⁻³

Cell and atoms, written as CIF:
```
data_InHgRh4
_chemical_formula_sum 'In4 Hg4 Rh16'
_cell_length_a 7.407
_cell_length_b 7.407
_cell_length_c 7.407
_cell_angle_alpha 90.00
_cell_angle_beta 90.00
_cell_angle_gamma 90.00
_symmetry_space_group_name_H-M 'F -4 3 m'
_symmetry_Int_Tables_number 216
_symmetry_space_group_name_Hall 'F -4 2 3'
loop_
_atom_site_label
_atom_site_type_symbol
_atom_site_fract_x
_atom_site_fract_y
_atom_site_fract_z
In1 In 0.000 0.000 0.000
Hg1 Hg 0.250 0.250 0.250
Rh1 Rh 0.125 0.125 0.625
```


Record 6
Below is a relaxed In2HgRh crystal, with properties calculated at the PBE level.

Summary:
* volume: 260.4 Å³/cell
* total moment: 0.00 μB per formula unit
* ΔE_f: -70 meV/atom
* theoretical density: 10.2 g cm⁻³

Cell and atoms, written as CIF:
```
data_In2HgRh
_chemical_formula_sum 'In6 Hg3 Rh3'
_cell_length_a 3.3367
_cell_length_b 3.3367
_cell_length_c 27.0100
_cell_angle_alpha 90.00
_cell_angle_beta 90.00
_cell_angle_gamma 120.00
_symmetry_space_group_name_H-M 'R 3 m'
_symmetry_Int_Tables_number 160
_symmetry_space_group_name_Hall 'R 3 -2"'
loop_
_atom_site_label
_atom_site_type_symbol
_atom_site_fract_x
_atom_site_fract_y
_atom_site_fract_z
In1 In 0.0000 0.0000 0.0000
In2 In 0.0000 0.0000 0.1899
Hg1 Hg 0.0000 0.0000 0.4280
Rh1 Rh 0.0000 0.0000 0.5948
```


Record 7
Below is a relaxed InHg2Rh2 crystal, with properties calculated at the PBE level.

Summary:
* volume: 193.8 Å³/cell
* total moment: 0.00 μB per formula unit
* ΔE_f: -55 meV/atom
* theoretical density: 12.4 g cm⁻³

Cell and atoms, written as CIF:
```
data_InHg2Rh2
_chemical_formula_sum 'In2 Hg4 Rh4'
_cell_length_a 6.833
_cell_length_b 6.833
_cell_length_c 4.151
_cell_angle_alpha 90.00
_cell_angle_beta 90.00
_cell_angle_gamma 90.00
_symmetry_space_group_name_H-M 'P 4/m b m'
_symmetry_Int_Tables_number 127
_symmetry_space_group_name_Hall '-P 4 2ab'
loop_
_atom_site_label
_atom_site_type_symbol
_atom_site_fract_x
_atom_site_fract_y
_atom_site_fract_z
In1 In 0.000 0.000 0.000
Hg1 Hg 0.161 0.339 0.500
Rh1 Rh 0.138 0.638 0.000
```


Record 8
Below is a relaxed In2HgRh crystal, with properties calculated at the PBE level.

Summary:
* volume: 81.9 Å³/cell
* total moment: 0.00 μB per formula unit
* ΔE_f: -27 meV/atom
* theoretical density: 10.8 g cm⁻³

Cell and atoms, written as CIF:
```
data_In2HgRh
_chemical_formula_sum 'In2 Hg1 Rh1'
_cell_length_a 3.763
_cell_length_b 3.763
_cell_length_c 5.786
_cell_angle_alpha 90.00
_cell_angle_beta 90.00
_cell_angle_gamma 90.00
_symmetry_space_group_name_H-M 'P 4 m m'
_symmetry_Int_Tables_number 99
loop_
_symmetry_equiv_pos_as_xyz
'x,y,z'
'-y,x,z'
'-x,-y,z'
'y,-x,z'
'-x,y,z'
'y,x,z'
'x,-y,z'
'-y,-x,z'
loop_
_atom_site_label
_atom_site_type_symbol
_atom_site_fract_x
_atom_site_fract_y
_atom_site_fract_z
In1 In 0.000 0.000 0.000
In2 In 0.500 0.500 0.302
Hg1 Hg 0.500 0.500 0.775
Rh1 Rh 0.000 0.000 0.486
```


Record 9
Below is a relaxed InHg2Rh crystal, with properties calculated at the PBE level.

Summary:
* volume: 254.8 Å³/cell
* total moment: 0.00 μB per formula unit
* ΔE_f: 190 meV/atom
* theoretical density: 12.1 g cm⁻³

Cell and atoms, written as CIF:
```
data_InHg2Rh
_chemical_formula_sum 'In3 Hg6 Rh3'
_cell_length_a 3.2372
_cell_length_b 3.2372
_cell_length_c 28.0709
_cell_angle_alpha 90.00
_cell_angle_beta 90.00
_cell_angle_gamma 120.00
_symmetry_space_group_name_H-M 'R -3 m'
_symmetry_Int_Tables_number 166
_symmetry_space_group_name_Hall '-R 3 2"'
loop_
_atom_site_label
_atom_site_type_symbol
_atom_site_fract_x
_atom_site_fract_y
_atom_site_fract_z
In1 In 0.0000 0.0000 0.0000
Hg1 Hg 0.0000 0.0000 0.2415
Rh1 Rh 0.0000 0.0000 0.5000
```


Record 10
Below is a relaxed In2HgRh crystal, with properties calculated at the PBE level.

Summary:
* volume: 159.4 Å³/cell
* total moment: 0.00 μB per formula unit
* ΔE_f: 14 meV/atom
* theoretical density: 11.1 g cm⁻³

Cell and atoms, written as CIF:
```
data_In2HgRh
_chemical_formula_sum 'In4 Hg2 Rh2'
_cell_length_a 4.370
_cell_length_b 4.370
_cell_length_c 8.346
_cell_angle_alpha 90.00
_cell_angle_beta 90.00
_cell_angle_gamma 90.00
_symmetry_space_group_name_H-M 'I 4/m m m'
_symmetry_Int_Tables_number 139
_symmetry_space_group_name_Hall '-I 4 2'
loop_
_atom_site_label
_atom_site_type_symbol
_atom_site_fract_x
_atom_site_fract_y
_atom_site_fract_z
In1 In 0.000 0.500 0.250
Hg1 Hg 0.000 0.000 0.000
Rh1 Rh 0.000 0.000 0.500
```


Quick rundown of N(E_F), same order as above: 3.21 2.31 6.86 12.31 30.83 4.74 4.45 0.52 7.14 3.07 states/eV per cell